# 1
A relaxed structure of Si2PbSe. Source: Alexandria via LeMat-Bulk, functional PBE. Values from VASP.

```
&SYSTEM
  ibrav = 0, nat = 4, ntyp = 3
/
ATOMIC_SPECIES
Pb 207.20 Pb.upf
Se 78.96 Se.upf
Si 28.09 Si.upf
CELL_PARAMETERS angstrom
-0.387 -2.050 5.319
-0.720 -5.664 0.213
3.489 4.184 -1.723
ATOMIC_POSITIONS crystal
Pb 0.750 0.250 0.500
Se 0.250 0.750 0.500
Si 0.030 0.030 0.000
Si 0.470 0.470 0.000
```

Output
- symmetry = Immm, No. 71
- formation energy without anion corrections (eV per atom) = 0.46
- crystal system = orthorhombic



# 2
A relaxed structure of SiPbSe2. Source: Alexandria via LeMat-Bulk, functional PBE. Values from VASP.

```
&SYSTEM
  ibrav = 0, nat = 4, ntyp = 3
/
ATOMIC_SPECIES
Pb 207.20 Pb.upf
Se 78.96 Se.upf
Si 28.09 Si.upf
CELL_PARAMETERS angstrom
-0.357 -0.917 3.466
3.861 -0.250 0.332
0.303 6.983 1.879
ATOMIC_POSITIONS crystal
Pb 0.500 0.750 0.750
Se 0.000 0.249 0.004
Se 0.000 0.251 0.496
Si 0.500 0.250 0.250
```

Output
- symmetry = P2/m, No. 10
- formation energy without anion corrections (eV per atom) = -0.04
- crystal system = monoclinic



# 3
A relaxed structure of Si2PbSe. Source: Alexandria via LeMat-Bulk, functional PBE. Values from VASP.

```
&SYSTEM
  ibrav = 0, nat = 4, ntyp = 3
/
ATOMIC_SPECIES
Pb 207.20 Pb.upf
Se 78.96 Se.upf
Si 28.09 Si.upf
CELL_PARAMETERS angstrom
-1.896 -0.358 -2.967
3.397 -3.210 -1.784
0.997 -6.958 0.203
ATOMIC_POSITIONS crystal
Pb 0.500 0.500 0.500
Se 0.000 0.000 0.500
Si 0.000 0.000 0.000
Si 0.500 0.500 0.000
```

Output
- symmetry = P2/m, No. 10
- formation energy without anion corrections (eV per atom) = 0.51
- crystal system = monoclinic



Number 1: energy -16.2 eV per cell, offset from the most stable computed form 393 meV/atom. Number 2: energy -16.3 eV per cell, offset from the most stable computed form 188 meV/atom. Number 3: energy -16.0 eV per cell, offset from the most stable computed form 448 meV/atom.